Entry 1:
# ZnCoTeO

An optimized crystal structure of ZnCoTeO (PBE with a Hubbard U, the Open Quantum Materials Database).

abc: 3.9161 3.9161 9.6311
angles: 90.00 90.00 90.00
Fractional coordinates of all 8 atoms:
Zn 0.2500 0.2500 0.1227
Zn 0.7500 0.7500 0.8773
Co 0.2500 0.2500 0.5439
Co 0.7500 0.7500 0.4561
Te 0.2500 0.2500 0.8282
Te 0.7500 0.7500 0.1718
O 0.2500 0.7500 0.5000
O 0.7500 0.2500 0.5000

VASP energy, Ha/atom: -0.1496
Energy relative to the lowest polymorph listed for this composition, eV/atom: 0.0763

---

Entry 2:
# YTlCoO3

An optimized crystal structure of YTlCoO3 (PBE with a Hubbard U, the Open Quantum Materials Database).

abc: 6.1792 6.1792 9.1030
angles: 90.00 90.00 147.02
Fractional coordinates of all 12 atoms:
Y 0.0000 0.0000 0.0000
Y 0.0000 0.0000 0.5000
Tl 0.2943 0.7057 0.7500
Tl 0.7057 0.2943 0.2500
Co 0.4160 0.5840 0.2500
Co 0.5840 0.4160 0.7500
O 0.0183 0.9817 0.2500
O 0.3825 0.6175 0.0448
O 0.3825 0.6175 0.4552
O 0.6175 0.3825 0.5448
O 0.6175 0.3825 0.9552
O 0.9817 0.0183 0.7500

VASP energy, Ha/atom: -0.2425

---

Entry 3:
# TmCo7O12

An optimized crystal structure of TmCo7O12 (PBE with a Hubbard U, the Open Quantum Materials Database).

abc: 6.2458 6.2458 6.2458
angles: 109.47 109.47 109.47
Fractional coordinates of all 20 atoms:
Tm 0.0000 0.0000 0.0000
Co 0.0000 0.0000 0.5000
Co 0.0000 0.5000 0.0000
Co 0.0000 0.5000 0.5000
Co 0.5000 0.0000 0.0000
Co 0.5000 0.0000 0.5000
Co 0.5000 0.5000 0.0000
Co 0.5000 0.5000 0.5000
O 0.1321 0.3051 0.8269
O 0.1731 0.4782 0.3051
O 0.1731 0.8679 0.6949
O 0.3051 0.1731 0.4782
O 0.3051 0.8269 0.1321
O 0.4782 0.3051 0.1731
O 0.5218 0.6949 0.8269
O 0.6949 0.1731 0.8679
O 0.6949 0.8269 0.5218
O 0.8269 0.1321 0.3051
O 0.8269 0.5218 0.6949
O 0.8679 0.6949 0.1731

VASP energy, Ha/atom: -0.2274

---

Entry 4:
# Tm2Co2O5

An optimized crystal structure of Tm2Co2O5 (PBE with a Hubbard U, the Open Quantum Materials Database).

abc: 3.7912 3.7912 8.6111
angles: 90.00 90.00 90.00
Fractional coordinates of all 9 atoms:
Tm 0.0000 0.0000 0.2476
Tm 0.0000 0.0000 0.7524
Co 0.5000 0.5000 0.0000
Co 0.5000 0.5000 0.5000
O 0.0000 0.0000 0.5000
O 0.0000 0.5000 0.1428
O 0.0000 0.5000 0.8572
O 0.5000 0.0000 0.1428
O 0.5000 0.0000 0.8572

VASP energy, Ha/atom: -0.2408
Energy relative to the lowest polymorph listed for this composition, eV/atom: 0.3472

---

Entry 5:
# Tm2Co2O5

An optimized crystal structure of Tm2Co2O5 (PBE with a Hubbard U, the Open Quantum Materials Database).

abc: 3.7785 3.7785 6.7739
angles: 90.00 90.00 90.00
Fractional coordinates of all 9 atoms:
Tm 0.0000 0.0000 0.0000
Tm 0.0000 0.0000 0.5000
Co 0.5000 0.5000 0.2037
Co 0.5000 0.5000 0.7963
O 0.0000 0.5000 0.2171
O 0.0000 0.5000 0.7829
O 0.5000 0.0000 0.2171
O 0.5000 0.0000 0.7829
O 0.5000 0.5000 0.5000

VASP energy, Ha/atom: -0.2536
Energy relative to the lowest polymorph listed for this composition, eV/atom: 0.0000

---

Entry 6:
# YCoO3

An optimized crystal structure of YCoO3 (PBE with a Hubbard U, the Open Quantum Materials Database).

abc: 4.2724 4.2724 4.2724
angles: 90.00 90.00 90.00
Fractional coordinates of all 5 atoms:
Y 0.0000 0.0000 0.0000
Co 0.5000 0.5000 0.5000
O 0.0000 0.0000 0.5000
O 0.0000 0.5000 0.0000
O 0.5000 0.0000 0.0000

VASP energy, Ha/atom: -0.2315

---

Entry 7:
# YCoO3

An optimized crystal structure of YCoO3 (PBE with a Hubbard U, the Open Quantum Materials Database).

abc: 5.4656 8.4403 5.4795
angles: 90.00 90.00 90.00
Fractional coordinates of all 20 atoms:
Y 0.0000 0.0000 0.0000
Y 0.0000 0.5000 0.0000
Y 0.5000 0.0000 0.5000
Y 0.5000 0.5000 0.5000
Co 0.0118 0.2500 0.4796
Co 0.4882 0.7500 0.9796
Co 0.5118 0.2500 0.0204
Co 0.9882 0.7500 0.5204
O 0.1433 0.0853 0.6405
O 0.1433 0.4147 0.6405
O 0.1511 0.2500 0.1443
O 0.3489 0.7500 0.6443
O 0.3567 0.5853 0.1405
O 0.3567 0.9147 0.1405
O 0.6433 0.0853 0.8595
O 0.6433 0.4147 0.8595
O 0.6511 0.2500 0.3557
O 0.8489 0.7500 0.8557
O 0.8567 0.5853 0.3595
O 0.8567 0.9147 0.3595

VASP energy, Ha/atom: -0.2703

---

Entry 8:
# YCoO3

An optimized crystal structure of YCoO3 (PBE with a Hubbard U, the Open Quantum Materials Database).

abc: 3.7013 3.7013 3.7013
angles: 90.00 90.00 90.00
Fractional coordinates of all 5 atoms:
Y 0.0000 0.0000 0.0000
Co 0.5000 0.5000 0.5000
O 0.0000 0.5000 0.5000
O 0.5000 0.0000 0.5000
O 0.5000 0.5000 0.0000

VASP energy, Ha/atom: -0.2679

---

Entry 9:
# YCoO3

An optimized crystal structure of YCoO3 (PBE with a Hubbard U, the Open Quantum Materials Database).

abc: 5.9994 5.9994 5.9994
angles: 54.94 54.94 54.94
Fractional coordinates of all 10 atoms:
Y 0.0000 0.0000 0.0000
Y 0.5000 0.5000 0.5000
Co 0.2500 0.2500 0.2500
Co 0.7500 0.7500 0.7500
O 0.0720 0.7500 0.4280
O 0.2500 0.5720 0.9280
O 0.4280 0.0720 0.7500
O 0.5720 0.9280 0.2500
O 0.7500 0.4280 0.0720
O 0.9280 0.2500 0.5720

VASP energy, Ha/atom: -0.2728

---

Entry 10:
# YCoO3

An optimized crystal structure of YCoO3 (PBE with a Hubbard U, the Open Quantum Materials Database).

abc: 5.5720 7.4292 5.1933
angles: 90.00 90.00 90.00
Fractional coordinates of all 20 atoms:
Y 0.0768 0.2500 0.0218
Y 0.4232 0.7500 0.5218
Y 0.5768 0.2500 0.4782
Y 0.9232 0.7500 0.9782
Co 0.0000 0.0000 0.5000
Co 0.0000 0.5000 0.5000
Co 0.5000 0.0000 0.0000
Co 0.5000 0.5000 0.0000
O 0.0252 0.7500 0.3982
O 0.1932 0.5509 0.8030
O 0.1932 0.9491 0.8030
O 0.3068 0.0509 0.3030
O 0.3068 0.4491 0.3030
O 0.4748 0.2500 0.8982
O 0.5252 0.7500 0.1018
O 0.6932 0.5509 0.6970
O 0.6932 0.9491 0.6970
O 0.8068 0.0509 0.1969
O 0.8068 0.4491 0.1969
O 0.9748 0.2500 0.6018

VASP energy, Ha/atom: -0.2763

---

Entry 11:
# YCoO3

An optimized crystal structure of YCoO3 (PBE with a Hubbard U, the Open Quantum Materials Database).

abc: 5.1279 5.1279 5.1279
angles: 62.84 62.84 62.84
Fractional coordinates of all 10 atoms:
Y 0.2500 0.2500 0.2500
Y 0.7500 0.7500 0.7500
Co 0.0000 0.0000 0.0000
Co 0.5000 0.5000 0.5000
O 0.1650 0.7500 0.3350
O 0.2500 0.6650 0.8350
O 0.3350 0.1650 0.7500
O 0.6650 0.8350 0.2500
O 0.7500 0.3350 0.1650
O 0.8350 0.2500 0.6650

VASP energy, Ha/atom: -0.2698

---

Entry 12:
# YCoO3

An optimized crystal structure of YCoO3 (PBE with a Hubbard U, the Open Quantum Materials Database).

abc: 5.6883 5.6883 5.6883
angles: 56.58 56.58 56.58
Fractional coordinates of all 10 atoms:
Y 0.1343 0.1343 0.1343
Y 0.8657 0.8657 0.8657
Co 0.3512 0.3512 0.3512
Co 0.6488 0.6488 0.6488
O 0.0586 0.4685 0.7088
O 0.2912 0.9414 0.5315
O 0.4685 0.7088 0.0586
O 0.5315 0.2912 0.9414
O 0.7088 0.0586 0.4685
O 0.9414 0.5315 0.2912

VASP energy, Ha/atom: -0.2682